DFT (GGA+U) results for an optimized crystal structure of MgMoAsO6.

Values from the calculation:
total energy = -6.508 eV per atom
size of the total moment = 2.00 Bohr magnetons per cell

POSCAR file:
```
MgMoAsO6
1.0
-2.145 0.860 3.953
-2.879 -3.468 -0.808
5.667 -5.710 4.318
O Mg As Mo
12 2 2 2
direct
0.287 0.287 0.337
0.713 0.713 0.337
0.213 0.787 0.837
0.186 0.814 0.175
0.697 0.697 0.986
0.803 0.197 0.486
0.303 0.303 0.986
0.686 0.686 0.675
0.787 0.213 0.837
0.314 0.314 0.675
0.814 0.186 0.175
0.197 0.803 0.486
0.500 0.500 0.168
0.000 0.000 0.668
0.500 0.500 0.833
0.000 0.000 0.333
0.000 0.000 0.002
0.500 0.500 0.502
```